Entry 1:
Below is a relaxed structure of Ta2AgMoSe, with properties calculated at the PBE-GGA level.

a = 4.969 Å, b = 4.969 Å, c = 4.604 Å
α = 90.00°, β = 90.00°, γ = 90.00°
Space group P4/mmm (No. 123)
One atom of each set of equivalent atoms:
Ta: 0.000 0.500 0.000 (multiplicity 2)
Ag: 0.000 0.000 0.000 (multiplicity 1)
Mo: 0.500 0.500 0.500 (multiplicity 1)
Se: 0.000 0.000 0.500 (multiplicity 1)

Crystal system = tetragonal
Energy relative to the elements, uncorrected = 49.72 kcal/mol of atoms
Calculated total energy = -30.09 eV per cell
Magnetization = 0.0 μB/cell

***

Entry 2:
Below is a relaxed structure of Tb2Dy6Tm3In, with properties calculated at the PBE-GGA level.

a = 6.054 Å, b = 10.490 Å, c = 11.594 Å
α = 90.00°, β = 100.03°, γ = 90.00°
Space group C2/m (No. 12)
One atom of each set of equivalent atoms:
Tb: 0.000 0.166 0.000 (multiplicity 4)
Dy: 0.245 0.500 0.750 (multiplicity 4)
Dy: 0.248 0.336 0.249 (multiplicity 8)
Tm: 0.000 0.000 0.500 (multiplicity 2)
Tm: 0.000 0.333 0.500 (multiplicity 4)
In: 0.000 0.500 0.000 (multiplicity 2)

Crystal system = monoclinic
Formation enthalpy at 0 K = -0.044 eV per atom
Calculated total energy = -107.12 eV per cell
Magnetization = 0.0 μB/cell

***

Entry 3:
Below is a relaxed structure of NdTh2Ir9, with properties calculated at the PBE-GGA level.

a = 5.3733 Å, b = 5.3733 Å, c = 26.7128 Å
α = 90.00°, β = 90.00°, γ = 120.00°
Space group R-3m (No. 166, hexagonal axes)
One atom of each set of equivalent atoms:
Nd: 0.0000 0.0000 0.0000 (multiplicity 3)
Th: 0.0000 0.0000 0.1380 (multiplicity 6)
Ir: 0.0000 0.0000 0.3327 (multiplicity 6)
Ir: 0.0000 0.0000 0.5000 (multiplicity 3)
Ir: 0.0002 0.5001 0.0814 (multiplicity 18)

Crystal system = trigonal
Formation enthalpy at 0 K = -0.618 eV per atom
Calculated total energy = -320.31 eV per cell
Magnetization = 0.0 μB/cell

***

Entry 4:
Below is a relaxed structure of AcPr2YS6, with properties calculated at the PBE-GGA level.

a = 7.2616 Å, b = 7.2616 Å, c = 19.0624 Å
α = 90.00°, β = 90.00°, γ = 120.00°
Space group R3 (No. 146, hexagonal axes)
One atom of each set of equivalent atoms:
Ac: 0.0000 0.0000 0.0000 (multiplicity 3)
Pr: 0.0000 0.0000 0.2836 (multiplicity 3)
Pr: 0.0000 0.0000 0.7898 (multiplicity 3)
Y: 0.0000 0.0000 0.4903 (multiplicity 3)
S: 0.0177 0.7249 0.3919 (multiplicity 9)
S: 0.0361 0.3547 0.5570 (multiplicity 9)

Crystal system = trigonal
Energy relative to the elements, uncorrected = -47.03 kcal/mol of atoms
Calculated total energy = -195.87 eV per cell
Magnetization = 0.0 μB/cell